## NaZnPO (GGA-PBE)

Data for a relaxed NaZnPO crystal.

## Properties
The value obtained for the uncorrected energy is -25.75 eV per cell.

Unit cell a=3.9324 b=3.9324 c=9.3358 alpha=90.00 beta=90.00 gamma=90.00
Closest atoms and distances in Å follow each position.
Space group P4/nmm (No. 129, origin choice 2)
Symmetry-distinct sites (fractional):
Na 0.2500 0.7500 0.0000 [2 per cell]  4 Na 2.78, 4 P 2.86
Zn 0.2500 0.2500 0.4499 [2 per cell]  4 O 2.02
P 0.2500 0.2500 0.7777 [2 per cell]  4 Na 2.86, 1 Zn 3.06
O 0.2500 0.7500 0.5000 [2 per cell]  4 Zn 2.02

***

## NaZnPO (GGA-PBE)

Data for a relaxed NaZnPO crystal.

## Properties
The value obtained for the uncorrected energy is -25.82 eV per cell.

Unit cell a=3.9846 b=3.9846 c=9.4267 alpha=90.00 beta=90.00 gamma=90.00
Closest atoms and distances in Å follow each position.
Space group P4/nmm (No. 129, origin choice 2)
Symmetry-distinct sites (fractional):
Na 0.2500 0.7500 0.0000 [2 per cell]  4 Na 2.82, 4 P 2.88
Zn 0.2500 0.2500 0.4655 [2 per cell]  4 O 2.02
P 0.2500 0.2500 0.7791 [2 per cell]  4 Na 2.88, 1 Zn 2.96
O 0.2500 0.7500 0.5000 [2 per cell]  4 Zn 2.02